1.
Density functional theory data (PBE-GGA) for a relaxed Sm3ErNi8 crystal.

```
Sm3ErNi8
1.0
4.885 0.000 1.475
2.220 4.352 1.475
-0.010 -0.006 8.863
Sm Er Ni
3 1 8
Direct
0.375 0.375 0.874 Sm
0.999 0.999 0.002 Sm
0.500 0.500 0.499 Sm
0.875 0.875 0.375 Er
0.936 0.437 0.190 Ni
0.440 0.937 0.685 Ni
0.437 0.437 0.190 Ni
0.937 0.937 0.685 Ni
0.188 0.188 0.437 Ni
0.688 0.688 0.937 Ni
0.437 0.936 0.190 Ni
0.937 0.440 0.685 Ni
```

Values from the calculation:
volume	188.5	Å³/cell
total energy	-5.805	eV per atom
space-group type	R3m, No. 160

---

2.
Density functional theory data (PBE-GGA) for a relaxed LaTb2Pr3 crystal.

```
LaTb2Pr3
1.0
3.526 0.000 0.000
0.000 6.053 0.000
-1.763 -3.026 9.987
La Tb Pr
1 2 3
Direct
0.000 0.000 0.000 La
0.638 0.638 0.276 Tb
0.362 0.362 0.724 Tb
0.000 0.500 0.000 Pr
0.809 0.809 0.617 Pr
0.191 0.191 0.383 Pr
```

Values from the calculation:
volume	213.2	Å³/cell
total energy	-4.465	eV per atom
space-group type	Immm, No. 71

---

3.
Density functional theory data (PBE-GGA) for a relaxed PrGe6Te8 crystal.

```
PrGe6Te8
1.0
7.958 0.951 0.982
0.702 7.983 0.982
0.702 0.724 8.011
Pr Ge Te
1 6 8
Direct
0.000 0.000 0.000 Pr
0.634 0.410 0.880 Ge
0.410 0.880 0.634 Ge
0.880 0.634 0.410 Ge
0.366 0.590 0.120 Ge
0.590 0.120 0.366 Ge
0.120 0.366 0.590 Ge
0.729 0.729 0.729 Te
0.271 0.271 0.271 Te
0.660 0.846 0.194 Te
0.846 0.194 0.660 Te
0.194 0.660 0.846 Te
0.340 0.154 0.806 Te
0.154 0.806 0.340 Te
0.806 0.340 0.154 Te
```

Values from the calculation:
formation energy without anion corrections	-0.22	eV/atom
volume	493.6	Å³/cell
total energy	-4.065	eV per atom
space-group type	R-3, No. 148

---

4.
Density functional theory data (PBE-GGA) for a relaxed RbGaMo2Se crystal.

```
RbGaMo2Se
1.0
-3.440 0.208 -3.451
3.582 -1.596 -3.667
-1.168 -4.652 0.884
Mo Ga Se Rb
2 1 1 1
Direct
0.000 0.000 0.500 Mo
0.500 0.000 0.000 Mo
0.000 0.500 0.000 Ga
0.500 0.500 0.500 Se
0.000 0.000 0.000 Rb
```

Values from the calculation:
formation energy without anion corrections	2.81	eV/atom
volume	127.7	Å³/cell
total energy	-3.013	eV per atom
space-group type	P4/mmm, No. 123

---

5.
Density functional theory data (PBE-GGA) for a relaxed Ca4Hg3Rh crystal.

```
Ca4Hg3Rh
1.0
-2.225 -0.915 -2.757
0.862 -3.525 0.474
-11.425 -1.490 9.716
Ca Rh Hg
4 1 3
Direct
0.000 0.000 0.892 Ca
0.000 0.000 0.108 Ca
0.000 0.000 0.369 Ca
0.000 0.000 0.631 Ca
0.500 0.500 0.000 Rh
0.500 0.500 0.238 Hg
0.500 0.500 0.500 Hg
0.500 0.500 0.762 Hg
```

Values from the calculation:
volume	201.8	Å³/cell
total energy	-2.514	eV per atom
space-group type	P4/mmm, No. 123

---

6.
Density functional theory data (PBE-GGA) for a relaxed CSeF crystal.

```
CSeF
1.0
4.217 -0.002 -0.001
-0.810 4.140 0.006
-1.331 -0.367 5.883
C Se F
2 2 2
Direct
0.898 0.247 0.377 C
0.694 0.490 0.471 C
0.595 0.819 0.242 Se
0.323 0.243 0.606 Se
0.982 0.359 0.177 F
0.890 0.659 0.670 F
```

Values from the calculation:
formation energy without anion corrections	-0.10	eV/atom
volume	102.7	Å³/cell
total energy	-4.963	eV per atom
space-group type	P1, No. 1
excess energy over the best structure of this formula in the dataset	0.2243	eV/atom

---

7.
Density functional theory data (PBE-GGA) for a relaxed Zn4As crystal.

```
Zn4As
1.0
4.993 0.000 0.000
0.000 4.993 0.000
0.000 0.000 4.993
As Zn
1 4
Direct
0.500 0.500 0.500 As
0.000 0.000 0.000 Zn
0.500 0.000 0.500 Zn
0.000 0.500 0.500 Zn
0.500 0.500 0.000 Zn
```

Values from the calculation:
volume	124.4	Å³/cell
total energy	-1.482	eV per atom
space-group type	Pm-3m, No. 221
excess energy over the best structure of this formula in the dataset	0.3700	eV/atom

---

8.
Density functional theory data (PBE-GGA) for a relaxed Tb2Ho3Tm3 crystal.

```
Tb2Ho3Tm3
1.0
-3.633 2.137 -2.625
0.490 -3.480 -3.511
-5.130 -4.985 7.738
Tb Ho Tm
2 3 3
Direct
0.750 0.250 0.500 Tb
0.250 0.750 0.500 Tb
0.624 0.624 0.248 Ho
0.376 0.376 0.752 Ho
0.500 0.000 0.000 Ho
0.124 0.124 0.249 Tm
0.000 0.500 0.000 Tm
0.876 0.876 0.751 Tm
```

Values from the calculation:
volume	245.1	Å³/cell
total energy	-4.528	eV per atom
space-group type	Immm, No. 71
excess energy over the best structure of this formula in the dataset	0.0187	eV/atom